This record from the Alexandria database describes Pr3Ho12Al after structural relaxation. The functional is PBE.

## Properties
Space-group type: No. 123
Calculated total energy: -4.573 eV per atom
N(E_F): 20.9 states/eV/cell
Total magnetization: 0.0 μB per cell
E_form: -0.01 eV per atom
Calculated density: 8.173 g/cm³

```
Pr3Ho12Al
1.0
4.9573 0.0000 0.0000
0.0000 4.9573 0.0000
0.0000 0.0000 20.0812
Pr Ho Al
3 12 1
Direct
0.0000 0.0000 0.0000
0.0000 0.0000 0.2541
0.0000 0.0000 0.7459
0.0000 0.5000 0.1282
0.0000 0.5000 0.3849
0.0000 0.5000 0.6151
0.0000 0.5000 0.8718
0.5000 0.0000 0.1282
0.5000 0.0000 0.3849
0.5000 0.0000 0.6151
0.5000 0.0000 0.8718
0.5000 0.5000 0.0000
0.5000 0.5000 0.2593
0.5000 0.5000 0.5000
0.5000 0.5000 0.7407
0.0000 0.0000 0.5000
```